# Cr2CdCo

Cr2CdCo after structural relaxation (PBE, the Alexandria database).

Geometry as POSCAR:
```
Cr2CdCo
1.0
1.485 -2.177 0.000
1.485 2.177 0.000
0.000 0.000 8.454
Cr Cd Co
2 1 1
Cartesian
0.000 0.000 0.000 Cr
1.485 0.000 1.773 Cr
1.485 0.000 5.993 Cd
0.000 0.000 3.660 Co
```

Summary:
* formation enthalpy at 0 K: 0.365 eV/atom
* total energy: -25.81 eV for the cell shown
* space-group type: Cmm2



# Cr2CdCo

Cr2CdCo after structural relaxation (PBE, the Alexandria database).

Geometry as POSCAR:
```
Cr2CdCo
1.0
-3.410 3.410 2.513
3.410 -3.410 2.513
3.410 3.410 -2.513
Cr Cd Co
4 2 2
Cartesian
1.705 1.310 -0.628 Cr
2.100 -1.705 3.142 Cr
1.705 2.100 1.885 Cr
1.310 5.115 0.628 Cr
3.410 0.000 1.257 Cd
0.000 0.000 2.513 Cd
0.000 0.000 0.000 Co
0.000 3.410 1.257 Co
```

Summary:
* formation enthalpy at 0 K: 0.832 eV/atom
* total energy: -47.88 eV for the cell shown
* space-group type: I-42d



# Cr2CdCo

Cr2CdCo after structural relaxation (PBE, the Alexandria database).

Geometry as POSCAR:
```
Cr2CdCo
1.0
4.755 -1.524 0.000
4.755 1.524 0.000
-2.061 0.000 3.932
Cr Cd Co
2 1 1
Cartesian
0.000 0.000 0.000 Cr
6.472 0.000 0.899 Cr
0.631 0.000 2.835 Cd
3.430 0.000 1.811 Co
```

Summary:
* formation enthalpy at 0 K: 0.453 eV/atom
* total energy: -25.45 eV for the cell shown
* space-group type: Cm